Entry 1:
Below is a relaxed structure of Ac2Ni2Pd, with properties calculated at the PBE level.

Results
Final energy: -5.378 eV/atom
Energy above the lowest structure with this stoichiometry: 38.8 meV per atom

Cell and atoms, written as CIF:
```
data_Ac2Ni2Pd
_chemical_formula_sum 'Ac8 Ni8 Pd4'
_symmetry_space_group_name_H-M 'P 4/m n c'
_symmetry_Int_Tables_number 128
_symmetry_space_group_name_Hall '-P 4 2n'
_cell_length_a 7.543
_cell_length_b 7.543
_cell_length_c 8.068
_cell_angle_alpha 90.00
_cell_angle_beta 90.00
_cell_angle_gamma 90.00
loop_
_atom_site_label
_atom_site_type_symbol
_atom_site_fract_x
_atom_site_fract_y
_atom_site_fract_z
_atom_site_occupancy
Ac1 Ac 0.186 0.314 0.000 1
Ni1 Ni 0.112 0.612 0.250 1
Pd1 Pd 0.000 0.000 0.250 1
```

Entry 2:
Below is a relaxed structure of Ac2Ni2Pd, with properties calculated at the PBE level.

Results
Final energy: -5.416 eV/atom
Energy above the lowest structure with this stoichiometry: 0.0 meV per atom

Cell and atoms, written as CIF:
```
data_Ac2Ni2Pd
_chemical_formula_sum 'Ac8 Ni8 Pd4'
_symmetry_space_group_name_H-M 'C 1 2/m 1'
_symmetry_Int_Tables_number 12
_symmetry_space_group_name_Hall '-C 2y'
_cell_length_a 11.163
_cell_length_b 4.305
_cell_length_c 11.211
_cell_angle_alpha 90.00
_cell_angle_beta 116.33
_cell_angle_gamma 90.00
loop_
_atom_site_label
_atom_site_type_symbol
_atom_site_fract_x
_atom_site_fract_y
_atom_site_fract_z
_atom_site_occupancy
Ac1 Ac 0.094 0.000 0.396 1
Ac2 Ac 0.196 0.500 0.139 1
Ni1 Ni 0.035 0.000 0.917 1
Ni2 Ni 0.115 0.500 0.598 1
Pd1 Pd 0.078 0.500 0.815 1
```

Entry 3:
Below is a relaxed structure of Ac4NiPd2, with properties calculated at the PBE level.

Results
Final energy: -4.976 eV/atom
Energy above the lowest structure with this stoichiometry: 165.2 meV per atom

Cell and atoms, written as CIF:
```
data_Ac4NiPd2
_chemical_formula_sum 'Ac8 Ni2 Pd4'
_symmetry_space_group_name_H-M 'I 4/m m m'
_symmetry_Int_Tables_number 139
_symmetry_space_group_name_Hall '-I 4 2'
_cell_length_a 5.530
_cell_length_b 5.530
_cell_length_c 15.236
_cell_angle_alpha 90.00
_cell_angle_beta 90.00
_cell_angle_gamma 90.00
loop_
_atom_site_label
_atom_site_type_symbol
_atom_site_fract_x
_atom_site_fract_y
_atom_site_fract_z
_atom_site_occupancy
Ac1 Ac 0.000 0.000 0.196 1
Ac2 Ac 0.000 0.500 0.000 1
Ni1 Ni 0.000 0.000 0.000 1
Pd1 Pd 0.000 0.000 0.386 1
```

Entry 4:
Below is a relaxed structure of Ac12Ni5Pd3, with properties calculated at the PBE level.

Results
Final energy: -4.847 eV/atom

Cell and atoms, written as CIF:
```
data_Ac12Ni5Pd3
_chemical_formula_sum 'Ac96 Ni40 Pd24'
_symmetry_space_group_name_H-M 'I a -3 d'
_symmetry_Int_Tables_number 230
_symmetry_space_group_name_Hall '-I 4bd 2c 3'
_cell_length_a 17.663
_cell_length_b 17.663
_cell_length_c 17.663
_cell_angle_alpha 90.00
_cell_angle_beta 90.00
_cell_angle_gamma 90.00
loop_
_atom_site_label
_atom_site_type_symbol
_atom_site_fract_x
_atom_site_fract_y
_atom_site_fract_z
_atom_site_occupancy
Ac1 Ac 0.025 0.062 0.652 1
Ni1 Ni 0.000 0.000 0.000 1
Ni2 Ni 0.000 0.250 0.375 1
Pd1 Pd 0.000 0.250 0.125 1
```

Entry 5:
Below is a relaxed structure of Ac4NiPd2, with properties calculated at the PBE level.

Results
Final energy: -5.141 eV/atom
Energy above the lowest structure with this stoichiometry: 0.0 meV per atom

Cell and atoms, written as CIF:
```
data_Ac4NiPd2
_chemical_formula_sum 'Ac8 Ni2 Pd4'
_symmetry_space_group_name_H-M 'C 1 2/m 1'
_symmetry_Int_Tables_number 12
_symmetry_space_group_name_Hall '-C 2y'
_cell_length_a 15.780
_cell_length_b 4.466
_cell_length_c 7.643
_cell_angle_alpha 90.00
_cell_angle_beta 118.79
_cell_angle_gamma 90.00
loop_
_atom_site_label
_atom_site_type_symbol
_atom_site_fract_x
_atom_site_fract_y
_atom_site_fract_z
_atom_site_occupancy
Ac1 Ac 0.123 0.000 0.277 1
Ac2 Ac 0.129 0.500 0.805 1
Ni1 Ni 0.000 0.500 0.000 1
Pd1 Pd 0.245 0.000 0.744 1
```

Entry 6:
Below is a relaxed structure of Ac6Ni4Pd, with properties calculated at the PBE level.

Results
Final energy: -5.042 eV/atom

Cell and atoms, written as CIF:
```
data_Ac6Ni4Pd
_chemical_formula_sum 'Ac12 Ni8 Pd2'
_symmetry_space_group_name_H-M 'C 1 m 1'
_symmetry_Int_Tables_number 8
_symmetry_space_group_name_Hall 'C -2y'
_cell_length_a 8.444
_cell_length_b 8.423
_cell_length_c 9.766
_cell_angle_alpha 90.00
_cell_angle_beta 115.15
_cell_angle_gamma 90.00
loop_
_atom_site_label
_atom_site_type_symbol
_atom_site_fract_x
_atom_site_fract_y
_atom_site_fract_z
_atom_site_occupancy
Ac1 Ac 0.000 0.000 0.000 1
Ac2 Ac 0.018 0.500 0.998 1
Ac3 Ac 0.330 0.251 0.645 1
Ac4 Ac 0.403 0.241 0.291 1
Ni1 Ni 0.176 0.000 0.373 1
Ni2 Ni 0.205 0.500 0.368 1
Ni3 Ni 0.220 0.233 0.919 1
Pd1 Pd 0.086 0.000 0.652 1
```

- Among the records above, which one has the highest final energy?
  Ac12Ni5Pd3